A plane-wave DFT calculation with PBE was carried out for RbNbSO2 after structural relaxation.

The structure in CIF format:
```
data_RbNbSO2
_chemical_formula_sum 'Rb1 Nb1 S1 O2'
_symmetry_space_group_name_H-M 'P 4/m m m'
_symmetry_Int_Tables_number 123
_symmetry_space_group_name_Hall '-P 4 2'
_cell_length_a 4.145
_cell_length_b 4.145
_cell_length_c 4.956
_cell_angle_alpha 90.00
_cell_angle_beta 90.00
_cell_angle_gamma 90.00
loop_
_atom_site_label
_atom_site_type_symbol
_atom_site_fract_x
_atom_site_fract_y
_atom_site_fract_z
Rb1 Rb 0.000 0.000 0.000
Nb1 Nb 0.500 0.500 0.500
S1 S 0.500 0.500 0.000
O1 O 0.000 0.500 0.500
```

Summary:
- Raw total energy: -0.2477 Ha/atom

A plane-wave DFT calculation with PBE was carried out for Sr2Ca2Zn3 after structural relaxation.

The structure in CIF format:
```
data_Sr2Ca2Zn3
_chemical_formula_sum 'Sr6 Ca6 Zn9'
_symmetry_space_group_name_H-M 'R -3 m'
_symmetry_Int_Tables_number 166
_symmetry_space_group_name_Hall '-R 3 2"'
_cell_length_a 5.3079
_cell_length_b 5.3079
_cell_length_c 26.9338
_cell_angle_alpha 90.00
_cell_angle_beta 90.00
_cell_angle_gamma 120.00
loop_
_atom_site_label
_atom_site_type_symbol
_atom_site_fract_x
_atom_site_fract_y
_atom_site_fract_z
Sr1 Sr 0.0000 0.0000 0.1223
Ca1 Ca 0.0000 0.0000 0.3709
Zn1 Zn 0.0000 0.0000 0.0000
Zn2 Zn 0.0000 0.0000 0.2554
```

Summary:
- ΔH_f (0 K): -1.02 eV per formula unit

A plane-wave DFT calculation with PBE was carried out for Zr2Pd7Pt after structural relaxation.

The structure in CIF format:
```
data_Zr2Pd7Pt
_chemical_formula_sum 'Zr4 Pd14 Pt2'
_symmetry_space_group_name_H-M 'C m m m'
_symmetry_Int_Tables_number 65
_symmetry_space_group_name_Hall '-C 2 2'
_cell_length_a 7.278
_cell_length_b 14.505
_cell_length_c 3.813
_cell_angle_alpha 90.00
_cell_angle_beta 90.00
_cell_angle_gamma 90.00
loop_
_atom_site_label
_atom_site_type_symbol
_atom_site_fract_x
_atom_site_fract_y
_atom_site_fract_z
Zr1 Zr 0.000 0.188 0.000
Pd1 Pd 0.000 0.000 0.000
Pd2 Pd 0.000 0.310 0.500
Pd3 Pd 0.192 0.400 0.000
Pt1 Pt 0.000 0.500 0.500
```

Summary:
- ΔH_f (0 K): 0.09 eV per formula unit

A plane-wave DFT calculation with PBE was carried out for Pb2SeI after structural relaxation.

The structure in CIF format:
```
data_Pb2SeI
_chemical_formula_sum 'Pb8 Se4 I4'
_symmetry_space_group_name_H-M 'I -4 2 d'
_symmetry_Int_Tables_number 122
_symmetry_space_group_name_Hall 'I -4 2bw'
_cell_length_a 8.491
_cell_length_b 8.491
_cell_length_c 7.765
_cell_angle_alpha 90.00
_cell_angle_beta 90.00
_cell_angle_gamma 90.00
loop_
_atom_site_label
_atom_site_type_symbol
_atom_site_fract_x
_atom_site_fract_y
_atom_site_fract_z
Pb1 Pb 0.212 0.250 0.125
Se1 Se 0.000 0.000 0.000
I1 I 0.000 0.000 0.500
```

Summary:
- E above lowest polymorph: 102.7 meV/atom

A plane-wave DFT calculation with PBE was carried out for TbCo2B after structural relaxation.

The structure in CIF format:
```
data_TbCo2B
_chemical_formula_sum 'Tb3 Co6 B3'
_symmetry_space_group_name_H-M 'R -3 m'
_symmetry_Int_Tables_number 166
_symmetry_space_group_name_Hall '-R 3 2"'
_cell_length_a 3.6342
_cell_length_b 3.6342
_cell_length_c 14.6052
_cell_angle_alpha 90.00
_cell_angle_beta 90.00
_cell_angle_gamma 120.00
loop_
_atom_site_label
_atom_site_type_symbol
_atom_site_fract_x
_atom_site_fract_y
_atom_site_fract_z
Tb1 Tb 0.0000 0.0000 0.0000
Co1 Co 0.0000 0.0000 0.1970
B1 B 0.0000 0.0000 0.5000
```

Summary:
- ΔH_f (0 K): -0.81 eV per formula unit

A plane-wave DFT calculation with PBE was carried out for K4CeU3O12 after structural relaxation.

The structure in CIF format:
```
data_K4CeU3O12
_chemical_formula_sum 'K8 Ce2 U6 O24'
_symmetry_space_group_name_H-M 'I m -3 m'
_symmetry_Int_Tables_number 229
_symmetry_space_group_name_Hall '-I 4 2 3'
_cell_length_a 8.694
_cell_length_b 8.694
_cell_length_c 8.694
_cell_angle_alpha 90.00
_cell_angle_beta 90.00
_cell_angle_gamma 90.00
loop_
_atom_site_label
_atom_site_type_symbol
_atom_site_fract_x
_atom_site_fract_y
_atom_site_fract_z
K1 K 0.250 0.250 0.250
Ce1 Ce 0.000 0.000 0.000
U1 U 0.000 0.000 0.500
O1 O 0.000 0.000 0.263
O2 O 0.000 0.250 0.500
```

Summary:
- Raw total energy: -0.2975 Ha/atom

no.,magnetization (μB/f.u.)
1,0.00
2,0.00
3,0.00
4,0.00
5,0.52
6,2.01